Entry from Alexandria: a relaxed PH2S crystal (GGA-PBE).

Summary:
V = 238.27 Å³/cell
energy = -15.8 eV per formula unit
crystal system = monoclinic
relative energy among the computed polymorphs = 0 meV per atom

a = 5.4674 Å, b = 5.1138 Å, c = 9.2267 Å
α = 90.00°, β = 112.54°, γ = 90.00°
Last column: nearest neighbours and their distance in Å.
Space group P2_1/c (No. 14)
Inequivalent atoms, fractional coordinates:
P 0.1105 0.0824 0.3874 x4  1 H 1.44
H 0.1230 0.1289 0.5655 x4  1 P 1.64
H 0.3308 0.2428 0.3940 x4  1 P 1.44
S 0.1982 0.6441 0.7078 x4  2 P 2.11-2.22